Run a
Below is a relaxed LiTe2Au2 crystal, with properties calculated at the PBE level.

Cell and atoms, written as POSCAR:
```
LiTe2Au2
1.0
7.679 0.000 0.000
0.000 7.679 0.000
0.000 0.000 3.919
Li Te Au
2 4 4
direct
0.000 0.000 0.000
0.500 0.500 0.000
0.184 0.316 0.500
0.316 0.816 0.500
0.684 0.184 0.500
0.816 0.684 0.500
0.129 0.629 0.000
0.371 0.129 0.000
0.629 0.871 0.000
0.871 0.371 0.000
```

Properties
* volume: 231 Å³/cell

***

Run b
Below is a relaxed LiTe2Au2 crystal, with properties calculated at the PBE level.

Cell and atoms, written as POSCAR:
```
LiTe2Au2
1.0
-2.038 2.038 7.468
2.038 -2.038 7.468
2.038 2.038 -7.468
Li Te Au
1 2 2
direct
0.000 0.000 0.000
0.391 0.391 0.000
0.609 0.609 0.000
0.250 0.750 0.500
0.750 0.250 0.500
```

Properties
* volume: 124 Å³/cell

***

Run c
Below is a relaxed LiTe2Au2 crystal, with properties calculated at the PBE level.

Cell and atoms, written as POSCAR:
```
LiTe2Au2
1.0
7.812 0.000 0.000
0.000 7.812 0.000
0.000 0.000 3.886
Li Te Au
2 4 4
direct
0.000 0.000 0.000
0.500 0.500 0.000
0.185 0.315 0.000
0.315 0.815 0.000
0.685 0.185 0.000
0.815 0.685 0.000
0.127 0.627 0.500
0.373 0.127 0.500
0.627 0.873 0.500
0.873 0.373 0.500
```

Properties
* volume: 237 Å³/cell

***

So which one wins? Going from most stable to least: run a, run c, run b.

***

Run a
Below is a relaxed Li2Te2Au crystal, with properties calculated at the PBE level.

Cell and atoms, written as POSCAR:
```
Li2Te2Au
1.0
7.606 0.000 0.000
0.000 7.606 0.000
0.000 0.000 4.245
Li Te Au
4 4 2
direct
0.142 0.358 0.000
0.358 0.858 0.000
0.642 0.142 0.000
0.858 0.642 0.000
0.173 0.673 0.500
0.327 0.173 0.500
0.673 0.827 0.500
0.827 0.327 0.500
0.000 0.000 0.500
0.500 0.500 0.500
```

Properties
* volume: 246 Å³/cell

***

Run b
Below is a relaxed Li2Te2Au crystal, with properties calculated at the PBE level.

Cell and atoms, written as POSCAR:
```
Li2Te2Au
1.0
8.373 0.000 0.000
0.000 8.373 0.000
0.000 0.000 3.124
Li Te Au
4 4 2
direct
0.128 0.372 0.000
0.372 0.872 0.000
0.628 0.128 0.000
0.872 0.628 0.000
0.175 0.675 0.500
0.325 0.175 0.500
0.675 0.825 0.500
0.825 0.325 0.500
0.000 0.000 0.000
0.500 0.500 0.000
```

Properties
* volume: 219 Å³/cell

***

So which one wins? Going from most stable to least: run a, run b.

***

Run a
Below is a relaxed LiTe3Au crystal, with properties calculated at the PBE level.

Cell and atoms, written as POSCAR:
```
LiTe3Au
1.0
8.015 0.000 0.000
0.000 4.202 0.000
-0.335 0.000 8.479
Li Te Au
2 6 2
direct
0.073 0.250 0.250
0.927 0.750 0.750
0.134 0.250 0.594
0.199 0.750 0.053
0.454 0.750 0.283
0.546 0.250 0.717
0.801 0.250 0.947
0.866 0.750 0.406
0.323 0.750 0.731
0.677 0.250 0.269
```

Properties
* volume: 286 Å³/cell

***

Run b
Below is a relaxed LiTe3Au crystal, with properties calculated at the PBE level.

Cell and atoms, written as POSCAR:
```
LiTe3Au
1.0
5.522 0.000 0.000
0.000 5.522 0.000
0.000 0.000 5.522
Li Te Au
1 3 1
direct
0.000 0.000 0.000
0.000 0.500 0.500
0.500 0.000 0.500
0.500 0.500 0.000
0.500 0.500 0.500
```

Properties
* volume: 168 Å³/cell

***

So which one wins? Going from most stable to least: run a, run b.

***

Run a
Below is a relaxed LiThAu3 crystal, with properties calculated at the PBE level.

Cell and atoms, written as POSCAR:
```
LiThAu3
1.0
1.687 -13.244 0.000
1.687 13.244 0.000
0.000 0.000 4.770
Li Th Au
2 2 6
direct
0.212 0.788 0.750
0.788 0.212 0.250
0.080 0.920 0.250
0.920 0.080 0.750
0.313 0.687 0.750
0.368 0.632 0.250
0.474 0.526 0.250
0.526 0.474 0.750
0.632 0.368 0.750
0.687 0.313 0.250
```

Properties
* volume: 213 Å³/cell

***

Run b
Below is a relaxed LiThAu3 crystal, with properties calculated at the PBE level.

Cell and atoms, written as POSCAR:
```
LiThAu3
1.0
10.848 -2.108 0.000
10.848 2.108 0.000
-0.971 0.000 4.504
Li Th Au
2 2 6
direct
0.148 0.148 0.399
0.852 0.852 0.601
0.412 0.412 0.162
0.588 0.588 0.838
0.034 0.034 0.284
0.197 0.197 0.948
0.298 0.298 0.548
0.702 0.702 0.452
0.803 0.803 0.052
0.966 0.966 0.716
```

Properties
* volume: 206 Å³/cell

***

So which one wins? Going from most stable to least: run a, run b.